No. 1
VASP calculation (GGA-PBE) on crystalline MnCdRh2 at its relaxed geometry.

```
data_MnCdRh2
_symmetry_space_group_name_H-M 'C 1 m 1'
_symmetry_Int_Tables_number 8
_cell_length_a 10.1039
_cell_length_b 2.9090
_cell_length_c 4.7128
_cell_angle_alpha 90.00
_cell_angle_beta 114.74
_cell_angle_gamma 90.00
loop_
_symmetry_equiv_pos_as_xyz
'x,y,z'
'x,-y,z'
'x+1/2,y+1/2,z'
'x+1/2,-y+1/2,z'
loop_
_atom_site_label
_atom_site_type_symbol
_atom_site_fract_x
_atom_site_fract_y
_atom_site_fract_z
_atom_site_occupancy
Mn1 Mn 0.0000 0.0000 0.0000 1
Cd1 Cd 0.2329 0.0000 0.6076 1
Rh1 Rh 0.2443 0.5000 0.1094 1
Rh2 Rh 0.4777 0.0000 0.4887 1
```

Results
Spin magnetization = 8.976 Bohr magnetons per cell
Formation energy from the elements = -0.005 eV per atom
Raw total energy = -6.20 eV/atom
N(E_F) = 6.66 states/eV per cell

No. 2
VASP calculation (GGA-PBE) on crystalline Mn2CdRh at its relaxed geometry.

```
data_Mn2CdRh
_symmetry_space_group_name_H-M 'P 1 2/m 1'
_symmetry_Int_Tables_number 10
_cell_length_a 2.6809
_cell_length_b 4.0538
_cell_length_c 5.3957
_cell_angle_alpha 90.00
_cell_angle_beta 90.03
_cell_angle_gamma 90.00
loop_
_symmetry_equiv_pos_as_xyz
'x,y,z'
'-x,-y,-z'
'-x,y,-z'
'x,-y,z'
loop_
_atom_site_label
_atom_site_type_symbol
_atom_site_fract_x
_atom_site_fract_y
_atom_site_fract_z
_atom_site_occupancy
Mn1 Mn 0.0021 0.0000 0.1845 1
Cd1 Cd 0.5000 0.5000 0.5000 1
Rh1 Rh 0.5000 0.5000 0.0000 1
```

Results
Spin magnetization = 0.016 Bohr magnetons per cell
Formation energy from the elements = 0.338 eV per atom
Raw total energy = -6.31 eV/atom
N(E_F) = 4.51 states/eV per cell

No. 3
VASP calculation (GGA-PBE) on crystalline Mn3CdRh at its relaxed geometry.

```
data_Mn3CdRh
_symmetry_space_group_name_H-M 'P m -3 m'
_symmetry_Int_Tables_number 221
_symmetry_space_group_name_Hall '-P 4 2 3'
_cell_length_a 4.8197
_cell_length_b 4.8197
_cell_length_c 4.8197
_cell_angle_alpha 90.00
_cell_angle_beta 90.00
_cell_angle_gamma 90.00
loop_
_atom_site_label
_atom_site_type_symbol
_atom_site_fract_x
_atom_site_fract_y
_atom_site_fract_z
_atom_site_occupancy
Mn1 Mn 0.0000 0.0000 0.5000 1
Cd1 Cd 0.5000 0.5000 0.5000 1
Rh1 Rh 0.0000 0.0000 0.0000 1
```

Results
Spin magnetization = 13.340 Bohr magnetons per cell
Formation energy from the elements = 0.794 eV per atom
Raw total energy = -6.36 eV/atom
N(E_F) = 3.33 states/eV per cell

No. 4
VASP calculation (GGA-PBE) on crystalline Mn2CdRh at its relaxed geometry.

```
data_Mn2CdRh
_symmetry_space_group_name_H-M 'P 4/m m m'
_symmetry_Int_Tables_number 123
_symmetry_space_group_name_Hall '-P 4 2'
_cell_length_a 3.0918
_cell_length_b 3.0918
_cell_length_c 6.7425
_cell_angle_alpha 90.00
_cell_angle_beta 90.00
_cell_angle_gamma 90.00
loop_
_atom_site_label
_atom_site_type_symbol
_atom_site_fract_x
_atom_site_fract_y
_atom_site_fract_z
_atom_site_occupancy
Mn1 Mn 0.0000 0.0000 0.2218 1
Cd1 Cd 0.5000 0.5000 0.5000 1
Rh1 Rh 0.5000 0.5000 0.0000 1
```

Results
Spin magnetization = 8.387 Bohr magnetons per cell
Formation energy from the elements = 0.042 eV per atom
Raw total energy = -6.61 eV/atom
N(E_F) = 1.95 states/eV per cell

No. 5
VASP calculation (GGA-PBE) on crystalline Mn2CdRh at its relaxed geometry.

```
data_Mn2CdRh
_symmetry_space_group_name_H-M 'R 3 m'
_symmetry_Int_Tables_number 160
_symmetry_space_group_name_Hall 'R 3 -2"'
_cell_length_a 2.8289
_cell_length_b 2.8289
_cell_length_c 26.4619
_cell_angle_alpha 90.00
_cell_angle_beta 90.00
_cell_angle_gamma 120.00
loop_
_atom_site_label
_atom_site_type_symbol
_atom_site_fract_x
_atom_site_fract_y
_atom_site_fract_z
_atom_site_occupancy
Mn1 Mn 0.0000 0.0000 0.0000 1
Mn2 Mn 0.0000 0.0000 0.2572 1
Cd1 Cd 0.0000 0.0000 0.7591 1
Rh1 Rh 0.0000 0.0000 0.5172 1
```

Results
Spin magnetization = 17.819 Bohr magnetons per cell
Formation energy from the elements = 0.215 eV per atom
Raw total energy = -6.44 eV/atom
N(E_F) = 15.77 states/eV per cell

No. 6
VASP calculation (GGA-PBE) on crystalline MnCdRh2 at its relaxed geometry.

```
data_MnCdRh2
_symmetry_space_group_name_H-M 'R 3 m'
_symmetry_Int_Tables_number 160
_symmetry_space_group_name_Hall 'R 3 -2"'
_cell_length_a 2.8517
_cell_length_b 2.8517
_cell_length_c 26.7278
_cell_angle_alpha 90.00
_cell_angle_beta 90.00
_cell_angle_gamma 120.00
loop_
_atom_site_label
_atom_site_type_symbol
_atom_site_fract_x
_atom_site_fract_y
_atom_site_fract_z
_atom_site_occupancy
Mn1 Mn 0.0000 0.0000 0.0000 1
Cd1 Cd 0.0000 0.0000 0.7571 1
Rh1 Rh 0.0000 0.0000 0.2599 1
Rh2 Rh 0.0000 0.0000 0.5112 1
```

Results
Spin magnetization = 8.412 Bohr magnetons per cell
Formation energy from the elements = 0.145 eV per atom
Raw total energy = -6.05 eV/atom
N(E_F) = 12.55 states/eV per cell

No. 7
VASP calculation (GGA-PBE) on crystalline Mn2CdRh at its relaxed geometry.

```
data_Mn2CdRh
_symmetry_space_group_name_H-M 'P 4 m m'
_symmetry_Int_Tables_number 99
_cell_length_a 2.9790
_cell_length_b 2.9790
_cell_length_c 6.8656
_cell_angle_alpha 90.00
_cell_angle_beta 90.00
_cell_angle_gamma 90.00
loop_
_symmetry_equiv_pos_as_xyz
'x,y,z'
'-y,x,z'
'-x,-y,z'
'y,-x,z'
'-x,y,z'
'y,x,z'
'x,-y,z'
'-y,-x,z'
loop_
_atom_site_label
_atom_site_type_symbol
_atom_site_fract_x
_atom_site_fract_y
_atom_site_fract_z
_atom_site_occupancy
Mn1 Mn 0.0000 0.0000 0.0000 1
Mn2 Mn 0.5000 0.5000 0.2242 1
Cd1 Cd 0.0000 0.0000 0.5102 1
Rh1 Rh 0.5000 0.5000 0.7995 1
```

Results
Spin magnetization = 6.144 Bohr magnetons per cell
Formation energy from the elements = 0.101 eV per atom
Raw total energy = -6.55 eV/atom
N(E_F) = 3.72 states/eV per cell

No. 8
VASP calculation (GGA-PBE) on crystalline MnCdRh2 at its relaxed geometry.

```
data_MnCdRh2
_symmetry_space_group_name_H-M 'P m m 2'
_symmetry_Int_Tables_number 25
_cell_length_a 2.8563
_cell_length_b 3.8910
_cell_length_c 5.6074
_cell_angle_alpha 90.00
_cell_angle_beta 90.00
_cell_angle_gamma 90.00
loop_
_symmetry_equiv_pos_as_xyz
'x,y,z'
'-x,-y,z'
'-x,y,z'
'x,-y,z'
loop_
_atom_site_label
_atom_site_type_symbol
_atom_site_fract_x
_atom_site_fract_y
_atom_site_fract_z
_atom_site_occupancy
Mn1 Mn 0.0000 0.0000 0.0000 1
Cd1 Cd 0.5000 0.5000 0.7092 1
Rh1 Rh 0.0000 0.0000 0.4519 1
Rh2 Rh 0.5000 0.5000 0.2029 1
```

Results
Spin magnetization = 3.542 Bohr magnetons per cell
Formation energy from the elements = 0.008 eV per atom
Raw total energy = -6.19 eV/atom
N(E_F) = 4.35 states/eV per cell

No. 9
VASP calculation (GGA-PBE) on crystalline MnCdRh2 at its relaxed geometry.

```
data_MnCdRh2
_symmetry_space_group_name_H-M 'I -4 2 d'
_symmetry_Int_Tables_number 122
_symmetry_space_group_name_Hall 'I -4 2bw'
_cell_length_a 6.9988
_cell_length_b 6.9988
_cell_length_c 5.4599
_cell_angle_alpha 90.00
_cell_angle_beta 90.00
_cell_angle_gamma 90.00
loop_
_atom_site_label
_atom_site_type_symbol
_atom_site_fract_x
_atom_site_fract_y
_atom_site_fract_z
_atom_site_occupancy
Mn1 Mn 0.0000 0.0000 0.0000 1
Cd1 Cd 0.0000 0.0000 0.5000 1
Rh1 Rh 0.2101 0.7500 0.1250 1
```

Results
Spin magnetization = 12.549 Bohr magnetons per cell
Formation energy from the elements = 0.304 eV per atom
Raw total energy = -5.89 eV/atom
N(E_F) = 14.01 states/eV per cell

No. 10
VASP calculation (GGA-PBE) on crystalline Mn2CdRh at its relaxed geometry.

```
data_Mn2CdRh
_symmetry_space_group_name_H-M 'C 1 2/m 1'
_symmetry_Int_Tables_number 12
_cell_length_a 9.0472
_cell_length_b 2.9683
_cell_length_c 4.8789
_cell_angle_alpha 90.00
_cell_angle_beta 102.53
_cell_angle_gamma 90.00
loop_
_symmetry_equiv_pos_as_xyz
'x,y,z'
'-x,-y,-z'
'-x,y,-z'
'x,-y,z'
'x+1/2,y+1/2,z'
'-x+1/2,-y+1/2,-z'
'-x+1/2,y+1/2,-z'
'x+1/2,-y+1/2,z'
loop_
_atom_site_label
_atom_site_type_symbol
_atom_site_fract_x
_atom_site_fract_y
_atom_site_fract_z
_atom_site_occupancy
Mn1 Mn 0.2421 0.0000 0.2330 1
Cd1 Cd 0.0000 0.0000 0.5000 1
Rh1 Rh 0.0000 0.5000 0.0000 1
```

Results
Spin magnetization = 16.022 Bohr magnetons per cell
Formation energy from the elements = 0.169 eV per atom
Raw total energy = -6.48 eV/atom
N(E_F) = 5.63 states/eV per cell

No. 11
VASP calculation (GGA-PBE) on crystalline MnCdRh2 at its relaxed geometry.

```
data_MnCdRh2
_symmetry_space_group_name_H-M 'F -4 3 m'
_symmetry_Int_Tables_number 216
_symmetry_space_group_name_Hall 'F -4 2 3'
_cell_length_a 6.3351
_cell_length_b 6.3351
_cell_length_c 6.3351
_cell_angle_alpha 90.00
_cell_angle_beta 90.00
_cell_angle_gamma 90.00
loop_
_atom_site_label
_atom_site_type_symbol
_atom_site_fract_x
_atom_site_fract_y
_atom_site_fract_z
_atom_site_occupancy
Mn1 Mn 0.0000 0.0000 0.0000 1
Cd1 Cd 0.2500 0.2500 0.2500 1
Rh1 Rh 0.0000 0.0000 0.5000 1
Rh2 Rh 0.2500 0.2500 0.7500 1
```

Results
Spin magnetization = 21.424 Bohr magnetons per cell
Formation energy from the elements = 0.131 eV per atom
Raw total energy = -6.07 eV/atom
N(E_F) = 21.44 states/eV per cell

No. 12
VASP calculation (GGA-PBE) on crystalline MnCdRh at its relaxed geometry.

```
data_MnCdRh
_symmetry_space_group_name_H-M 'P 1 21/m 1'
_symmetry_Int_Tables_number 11
_cell_length_a 3.2393
_cell_length_b 4.4585
_cell_length_c 6.9048
_cell_angle_alpha 90.00
_cell_angle_beta 103.49
_cell_angle_gamma 90.00
loop_
_symmetry_equiv_pos_as_xyz
'x,y,z'
'-x,-y,-z'
'-x,y+1/2,-z'
'x,-y+1/2,z'
loop_
_atom_site_label
_atom_site_type_symbol
_atom_site_fract_x
_atom_site_fract_y
_atom_site_fract_z
_atom_site_occupancy
Mn1 Mn 0.0697 0.2500 0.1401 1
Cd1 Cd 0.2585 0.7500 0.5172 1
Rh1 Rh 0.4192 0.2500 0.8376 1
```

Results
Spin magnetization = 8.568 Bohr magnetons per cell
Formation energy from the elements = -0.022 eV per atom
Raw total energy = -5.83 eV/atom
N(E_F) = 2.25 states/eV per cell